The following is a PBE-GGA calculation of a relaxed ScTlZn2 crystal, from the Alexandria database.

Its final energy is -2.787 eV per atom. The energy of formation comes out at 24 meV/atom. The space-group type is C2/m. For the energy relative to the lowest polymorph listed for this composition, the calculation gives 18.7 kJ/mol of atoms.

Unit cell a=5.992 b=10.255 c=3.170 alpha=90.00 beta=120.61 gamma=90.00
Fractional coordinates of all 8 atoms:
Sc1 0.000 0.000 0.000
Sc2 0.500 0.500 0.000
Tl1 0.000 0.500 0.000
Tl2 0.500 0.000 0.000
Zn1 0.250 0.250 0.500
Zn2 0.250 0.750 0.500
Zn3 0.750 0.250 0.500
Zn4 0.750 0.750 0.500